This record from the Alexandria database describes a geometry-optimized RbCr2PdO8 structure. The functional is PBE with a Hubbard U.

Raw total energy: -6.17 eV per atom
Space group: No. 147
Calculated volume: 195.1 Å³ per cell

Unit cell a=5.1840 b=5.1840 c=8.3826 alpha=90.00 beta=90.00 gamma=120.00
With the nearest neighbours (Å) after each atom.
Fractional positions:
Rb: 0.0000 0.0000 0.0000  12 O 3.10-3.39
Cr: 0.6667 0.3333 0.2913  4 O 1.63-1.69
Cr: 0.3333 0.6667 0.7087  4 O 1.63-1.69
Pd: 0.0000 0.0000 0.5000  6 O 2.05
O: 0.3333 0.6667 0.9036  1 Cr 1.63
O: 0.3377 0.2923 0.3535  1 Cr 1.69
O: 0.7077 0.0455 0.3535  1 Cr 1.69
O: 0.6667 0.3333 0.0964  1 Cr 1.63
O: 0.2923 0.9545 0.6465  1 Cr 1.69
O: 0.6623 0.7077 0.6465  1 Cr 1.69
O: 0.0455 0.3377 0.6465  1 Cr 1.69
O: 0.9545 0.6623 0.3535  1 Cr 1.69